# PBE+U Tm2VO4, optimized geometry
# VASP energy, Ry/atom: -0.599
# Symmetry: No. 55
data_Tm2VO4
_chemical_formula_sum 'Tm4 V2 O8'
_space_group_name_H-M_alt 'P 1'
_space_group_IT_number 1
_space_group_name_Hall 'P 1'
_cell_length_a 3.298
_cell_length_b 5.618
_cell_length_c 9.364
_cell_angle_alpha 90.00
_cell_angle_beta 90.00
_cell_angle_gamma 90.00
loop_
_atom_site_label
_atom_site_fract_x
_atom_site_fract_y
_atom_site_fract_z
O1 0.000 0.359 0.214
O2 0.500 0.757 0.041
Tm1 0.500 0.919 0.826
V1 0.000 0.500 0.000
O3 0.000 0.641 0.786
O4 0.500 0.243 0.959
O5 0.000 0.141 0.714
V2 0.000 0.000 0.500
Tm2 0.500 0.081 0.174
Tm3 0.500 0.419 0.674
O6 0.000 0.859 0.286
Tm4 0.500 0.581 0.326
O7 0.500 0.743 0.541
O8 0.500 0.257 0.459